Below is an optimized crystal structure of Ga2Tc2Ge, with properties calculated at the PBE-GGA level.

Lattice parameters (Å, degrees): 6.638 6.638 3.541 90.00 90.00 90.00
Element x y z (fractional)
Ga 0.357 0.143 0.500
Ga 0.857 0.357 0.500
Ga 0.143 0.643 0.500
Ga 0.643 0.857 0.500
Ge 0.000 0.000 0.000
Ge 0.500 0.500 0.000
Tc 0.658 0.158 0.000
Tc 0.158 0.342 0.000
Tc 0.842 0.658 0.000
Tc 0.342 0.842 0.000

Values from the calculation:
Space-group type: No. 127
Crystal system: tetragonal
Energy relative to the lowest polymorph listed for this composition, eV/atom: 0.000
VASP energy, eV/atom: -6.401

Below is an optimized crystal structure of NdP2Ir8, with properties calculated at the PBE-GGA level.

Lattice parameters (Å, degrees): 6.199 6.199 9.148 124.10 124.10 37.36
Element x y z (fractional)
Ir 0.241 0.241 0.102
Ir 0.844 0.844 0.358
Ir 0.187 0.187 0.359
Ir 0.528 0.528 0.373
Ir 0.472 0.472 0.627
Ir 0.813 0.813 0.641
Ir 0.156 0.156 0.642
Ir 0.759 0.759 0.898
Nd 0.500 0.500 0.000
P 0.939 0.939 0.195
P 0.061 0.061 0.805

Values from the calculation:
Space-group type: No. 12
Crystal system: monoclinic
VASP energy, eV/atom: -8.278

Below is an optimized crystal structure of Ho3TeP2, with properties calculated at the PBE-GGA level.

Lattice parameters (Å, degrees): 4.063 4.063 10.237 90.00 90.00 120.00
Element x y z (fractional)
Ho 0.000 0.000 0.000
Ho 0.333 0.667 0.298
Ho 0.667 0.333 0.702
P 0.667 0.333 0.157
P 0.333 0.667 0.843
Te 0.000 0.000 0.500

Values from the calculation:
Space-group type: No. 164
Crystal system: trigonal
VASP energy, eV/atom: -6.203